Below is an optimized crystal structure of CeDy3Y2S6, with properties calculated at the PBE level.

Lattice parameters (Å, degrees): 3.9183 7.8900 8.7819 102.94 102.89 90.00
Closest atoms and distances in Å follow each position.
Fractional coordinates of all 12 atoms:
Ce: 0.5000 0.0000 0.0000  6 S 2.83-2.84
Dy: 0.5000 0.5000 0.0000  6 S 2.73-2.79
Dy: 0.8350 0.1652 0.6701  6 S 2.74-2.79
Dy: 0.1650 0.8348 0.3299  6 S 2.74-2.79
Y: 0.8351 0.6708 0.6702  6 S 2.75-2.80
Y: 0.1649 0.3292 0.3298  6 S 2.75-2.80
S: 0.3297 0.9158 0.6593  3 Dy 2.74-2.76, 2 Y 2.77, 1 Ce 2.84
S: 0.6675 0.5839 0.3350  3 Dy 2.79, 3 Y 2.79-2.80
S: 0.6703 0.0842 0.3407  3 Dy 2.74-2.76, 2 Y 2.77, 1 Ce 2.84
S: 0.9999 0.2581 0.9999  3 Dy 2.73-2.75, 1 Y 2.75, 2 Ce 2.83
S: 0.0001 0.7419 0.0001  3 Dy 2.73-2.75, 1 Y 2.75, 2 Ce 2.83
S: 0.3325 0.4161 0.6650  3 Dy 2.79, 3 Y 2.79-2.80

- ΔE_f (raw): -2007 meV/atom